9
Lattice="3.596 -2.044 0.000 3.596 2.044 0.000 -0.128 0.000 7.947" Properties=species:S:1:pos:R:3 comment="Ti4Fe2Ni3 | Alexandria via LeMat-Bulk | PBE | optimized geometry" spacegroup=C2/m vol_a3_per_atom=12.98 delta_e_f_ev_per_atom=-0.301 pbc="T T T"
Ti -0.006 0.000 2.635
Ti 2.388 0.000 0.899
Ti 4.677 0.000 7.048
Ti 7.070 0.000 5.313
Fe 2.283 0.000 6.224
Fe 4.781 0.000 1.724
Ni 0.000 0.000 0.000
Ni 2.349 0.000 3.500
Ni 4.715 0.000 4.447